Entry 1:
# UC2 | Alexandria | PBE | relaxed
data_UC2
_symmetry_space_group_name_H-M 'P 42/m n m'
_symmetry_Int_Tables_number 136
_symmetry_space_group_name_Hall '-P 4n 2n'
_cell_length_a 4.088
_cell_length_b 4.088
_cell_length_c 4.806
_cell_angle_alpha 90.00
_cell_angle_beta 90.00
_cell_angle_gamma 90.00
loop_
_atom_site_label
_atom_site_fract_x
_atom_site_fract_y
_atom_site_fract_z
U1 0.000 0.000 0.000
C1 0.119 0.119 0.500
# Total energy   -9.928 eV/atom
# Distance to the lowest polymorph of the same formula   98 meV per atom
# Magnetization   0.82 μB/cell

***

Entry 2:
# LuSnPd4 | Alexandria | PBE | relaxed
data_LuSnPd4
_symmetry_space_group_name_H-M 'F -4 3 m'
_symmetry_Int_Tables_number 216
_symmetry_space_group_name_Hall 'F -4 2 3'
_cell_length_a 7.580
_cell_length_b 7.580
_cell_length_c 7.580
_cell_angle_alpha 90.00
_cell_angle_beta 90.00
_cell_angle_gamma 90.00
loop_
_atom_site_label
_atom_site_fract_x
_atom_site_fract_y
_atom_site_fract_z
Lu1 0.000 0.000 0.000
Sn1 0.250 0.250 0.750
Pd1 0.125 0.125 0.375
# Total energy   -5.471 eV/atom
# Magnetization   0.00 μB/cell

***

Entry 3:
# CeAu6 | Alexandria | PBE | relaxed
data_CeAu6
_symmetry_space_group_name_H-M 'P m -3 m'
_symmetry_Int_Tables_number 221
_symmetry_space_group_name_Hall '-P 4 2 3'
_cell_length_a 6.426
_cell_length_b 6.426
_cell_length_c 6.426
_cell_angle_alpha 90.00
_cell_angle_beta 90.00
_cell_angle_gamma 90.00
loop_
_atom_site_label
_atom_site_fract_x
_atom_site_fract_y
_atom_site_fract_z
Ce1 0.000 0.000 0.000
Au1 0.196 0.500 0.500
# Total energy   -2.976 eV/atom
# Distance to the lowest polymorph of the same formula   1054 meV per atom
# Magnetization   1.74 μB/cell

***

Entry 4:
# Ce2AlPd | Alexandria | PBE | relaxed
data_Ce2AlPd
_symmetry_space_group_name_H-M 'R -3 m'
_symmetry_Int_Tables_number 166
_symmetry_space_group_name_Hall '-R 3 2"'
_cell_length_a 3.0436
_cell_length_b 3.0436
_cell_length_c 32.2484
_cell_angle_alpha 90.00
_cell_angle_beta 90.00
_cell_angle_gamma 120.00
loop_
_atom_site_label
_atom_site_fract_x
_atom_site_fract_y
_atom_site_fract_z
Ce1 0.0000 0.0000 0.0832
Al1 0.0000 0.0000 0.5000
Pd1 0.0000 0.0000 0.0000
# Total energy   -5.313 eV/atom
# Distance to the lowest polymorph of the same formula   361 meV per atom
# Magnetization   0.00 μB/cell

***

Number 1: D(E_F) 6.45 states/eV per cell, ΔE_f -0.02 eV per atom. Number 2: D(E_F) 22.82 states/eV per cell, ΔE_f -0.59 eV per atom. Number 3: D(E_F) 13.45 states/eV per cell, ΔE_f 0.68 eV per atom. Number 4: D(E_F) 19.52 states/eV per cell, ΔE_f -0.11 eV per atom.